{"formula": "ScPPtO2", "functional": "GGA-PBE", "state": "relaxed", "lattice_angstrom": [[3.9425, 0.0000, 0.0000], [0.0000, 3.9425, 0.0000], [0.0000, 0.0000, 4.8872]], "species": ["Sc", "P", "O", "O", "Pt"], "fractional_positions": [[0.5000, 0.5000, 0.5000], [0.0000, 0.0000, 0.5000], [0.0000, 0.5000, 0.0000], [0.5000, 0.0000, 0.0000], [0.0000, 0.0000, 0.0000]], "formation_energy_uncorrected_ev_per_atom": -0.50, "de_polymorph_ev_per_fu": 0.95, "magmom_total_mub_per_fu": 0.73}


{"formula": "ScP2PtO", "functional": "GGA-PBE", "state": "relaxed", "lattice_angstrom": [[4.8393, 0.0000, 0.0000], [0.0000, 4.8393, 0.0000], [0.0000, 0.0000, 3.8020]], "species": ["Sc", "P", "P", "O", "Pt"], "fractional_positions": [[0.5000, 0.5000, 0.5000], [0.0000, 0.5000, 0.0000], [0.5000, 0.0000, 0.0000], [0.0000, 0.0000, 0.5000], [0.0000, 0.0000, 0.0000]], "formation_energy_uncorrected_ev_per_atom": -0.12, "de_polymorph_ev_per_fu": 0.00, "magmom_total_mub_per_fu": 0.74}


{"formula": "PPtSeO2", "functional": "GGA-PBE", "state": "relaxed", "lattice_angstrom": [[3.7772, 0.0000, 0.0000], [0.0000, 3.7772, 0.0000], [0.0000, 0.0000, 5.6282]], "species": ["O", "O", "P", "Se", "Pt"], "fractional_positions": [[0.0000, 0.5000, 0.0000], [0.5000, 0.0000, 0.0000], [0.0000, 0.0000, 0.5000], [0.5000, 0.5000, 0.5000], [0.0000, 0.0000, 0.0000]], "formation_energy_uncorrected_ev_per_atom": 0.20, "de_polymorph_ev_per_fu": 0.00, "magmom_total_mub_per_fu": 0.65}


{"formula": "PPtSeO2", "functional": "GGA-PBE", "state": "relaxed", "lattice_angstrom": [[3.6170, 0.0000, 0.0000], [0.0000, 3.6170, 0.0000], [0.0000, 0.0000, 5.6320]], "species": ["O", "O", "P", "Se", "Pt"], "fractional_positions": [[0.0000, 0.5000, 0.0000], [0.5000, 0.0000, 0.0000], [0.0000, 0.0000, 0.5000], [0.0000, 0.0000, 0.0000], [0.5000, 0.5000, 0.5000]], "formation_energy_uncorrected_ev_per_atom": 0.24, "de_polymorph_ev_per_fu": 0.22, "magmom_total_mub_per_fu": 0.00}